Entry 1:
{
  "formula": "Cr3CoH",
  "functional": "PBE-GGA",
  "state": "optimized geometry",
  "e_tot_ev_per_atom": -5.9714,
  "spacegroup": "Pm-3m",
  "relative_energy_mev_per_atom": 1781,
  "lattice_angstrom": [[4.202, 0.000, 0.000], [0.000, 4.202, 0.000], [0.000, 0.000, 4.202]],
  "species": ["Cr", "Cr", "Cr", "Co", "H"],
  "fractional_positions": [[0.000, 0.000, 0.500], [0.000, 0.500, 0.000], [0.500, 0.000, 0.000], [0.000, 0.000, 0.000], [0.500, 0.500, 0.500]]
}

Entry 2:
{
  "formula": "CrCo3H2",
  "functional": "PBE-GGA",
  "state": "optimized geometry",
  "e_tot_ev_per_atom": -6.2613,
  "spacegroup": "C2/m",
  "lattice_angstrom": [[4.683, -1.279, 0.000], [4.683, 1.279, 0.000], [-4.182, 0.000, 7.856]],
  "species": ["Cr", "Cr", "Co", "Co", "Co", "Co", "Co", "Co", "H", "H", "H", "H"],
  "fractional_positions": [[0.115, 0.115, 0.223], [0.885, 0.885, 0.777], [0.118, 0.118, 0.726], [0.379, 0.379, 0.522], [0.382, 0.382, 0.023], [0.618, 0.618, 0.977], [0.621, 0.621, 0.478], [0.882, 0.882, 0.274], [0.248, 0.248, 0.625], [0.256, 0.256, 0.123], [0.744, 0.744, 0.877], [0.752, 0.752, 0.375]]
}

Entry 3:
{
  "formula": "CrCo6H3",
  "functional": "PBE-GGA",
  "state": "optimized geometry",
  "e_tot_ev_per_atom": -6.1384,
  "spacegroup": "P2_1/m",
  "lattice_angstrom": [[8.212, 0.000, 0.000], [0.000, 2.528, 0.000], [-2.076, 0.000, 7.997]],
  "species": ["Cr", "Cr", "Co", "Co", "Co", "Co", "Co", "Co", "Co", "Co", "Co", "Co", "Co", "Co", "H", "H", "H", "H", "H", "H"],
  "fractional_positions": [[0.088, 0.250, 0.411], [0.912, 0.750, 0.589], [0.050, 0.250, 0.868], [0.196, 0.750, 0.678], [0.240, 0.250, 0.192], [0.333, 0.750, 0.966], [0.351, 0.750, 0.465], [0.462, 0.250, 0.733], [0.538, 0.750, 0.267], [0.649, 0.250, 0.535], [0.667, 0.250, 0.034], [0.760, 0.750, 0.808], [0.804, 0.250, 0.322], [0.950, 0.750, 0.132], [0.141, 0.750, 0.040], [0.437, 0.250, 0.356], [0.452, 0.250, 0.925], [0.548, 0.750, 0.075], [0.563, 0.750, 0.644], [0.859, 0.250, 0.960]]
}

Entry 4:
{
  "formula": "Cr2CoH",
  "functional": "PBE-GGA",
  "state": "optimized geometry",
  "e_tot_ev_per_atom": -7.1358,
  "spacegroup": "P4/mmm",
  "relative_energy_mev_per_atom": 201,
  "lattice_angstrom": [[2.521, 0.000, 0.000], [0.000, 2.521, 0.000], [0.000, 0.000, 5.721]],
  "species": ["Cr", "Cr", "Co", "H"],
  "fractional_positions": [[0.000, 0.000, 0.197], [0.000, 0.000, 0.803], [0.500, 0.500, 0.500], [0.500, 0.500, 0.000]]
}

Entry 5:
{
  "formula": "CrCoH3",
  "functional": "PBE-GGA",
  "state": "optimized geometry",
  "e_tot_ev_per_atom": -4.9682,
  "spacegroup": "Pm-3m",
  "lattice_angstrom": [[3.281, 0.000, 0.000], [0.000, 3.281, 0.000], [0.000, 0.000, 3.281]],
  "species": ["Cr", "Co", "H", "H", "H"],
  "fractional_positions": [[0.000, 0.000, 0.000], [0.500, 0.500, 0.500], [0.000, 0.000, 0.500], [0.000, 0.500, 0.000], [0.500, 0.000, 0.000]]
}

Entry 6:
{
  "formula": "CrCo5H6",
  "functional": "PBE-GGA",
  "state": "optimized geometry",
  "e_tot_ev_per_atom": -5.4269,
  "spacegroup": "C2/m",
  "lattice_angstrom": [[2.263, -3.928, 0.000], [2.263, 3.928, 0.000], [-1.500, 0.000, 4.286]],
  "species": ["Cr", "Co", "Co", "Co", "Co", "Co", "H", "H", "H", "H", "H", "H"],
  "fractional_positions": [[0.000, 0.000, 0.000], [0.162, 0.838, 0.500], [0.334, 0.666, 0.000], [0.500, 0.500, 0.500], [0.666, 0.334, 0.000], [0.838, 0.162, 0.500], [0.083, 0.435, 0.253], [0.266, 0.266, 0.746], [0.435, 0.083, 0.253], [0.565, 0.917, 0.747], [0.734, 0.734, 0.254], [0.917, 0.565, 0.747]]
}

Entry 7:
{
  "formula": "Cr5Co2H4",
  "functional": "PBE-GGA",
  "state": "optimized geometry",
  "e_tot_ev_per_atom": -6.6511,
  "spacegroup": "C2/m",
  "lattice_angstrom": [[7.267, -1.259, 0.000], [7.267, 1.259, 0.000], [-0.890, 0.000, 5.003]],
  "species": ["Cr", "Cr", "Cr", "Cr", "Cr", "Co", "Co", "H", "H", "H", "H"],
  "fractional_positions": [[0.000, 0.000, 0.000], [0.324, 0.324, 0.705], [0.325, 0.325, 0.135], [0.675, 0.675, 0.865], [0.676, 0.676, 0.295], [0.075, 0.075, 0.536], [0.925, 0.925, 0.464], [0.196, 0.196, 0.592], [0.457, 0.457, 0.734], [0.543, 0.543, 0.266], [0.804, 0.804, 0.408]]
}

Entry 8:
{
  "formula": "Cr3CoH",
  "functional": "PBE-GGA",
  "state": "optimized geometry",
  "e_tot_ev_per_atom": -7.7529,
  "spacegroup": "Pm-3m",
  "relative_energy_mev_per_atom": 0,
  "lattice_angstrom": [[3.619, 0.000, 0.000], [0.000, 3.619, 0.000], [0.000, 0.000, 3.619]],
  "species": ["Cr", "Cr", "Cr", "Co", "H"],
  "fractional_positions": [[0.000, 0.000, 0.500], [0.000, 0.500, 0.000], [0.500, 0.000, 0.000], [0.500, 0.500, 0.500], [0.000, 0.000, 0.000]]
}

Entry 9:
{
  "formula": "Cr2CoH2",
  "functional": "PBE-GGA",
  "state": "optimized geometry",
  "e_tot_ev_per_atom": -6.4195,
  "spacegroup": "P4/mbm",
  "lattice_angstrom": [[5.502, 0.000, 0.000], [0.000, 5.502, 0.000], [0.000, 0.000, 2.517]],
  "species": ["Cr", "Cr", "Cr", "Cr", "Co", "Co", "H", "H", "H", "H"],
  "fractional_positions": [[0.141, 0.359, 0.000], [0.359, 0.859, 0.000], [0.641, 0.141, 0.000], [0.859, 0.641, 0.000], [0.000, 0.000, 0.500], [0.500, 0.500, 0.500], [0.156, 0.656, 0.500], [0.344, 0.156, 0.500], [0.656, 0.844, 0.500], [0.844, 0.344, 0.500]]
}

Entry 10:
{
  "formula": "CrCoH",
  "functional": "PBE-GGA",
  "state": "optimized geometry",
  "e_tot_ev_per_atom": -6.4254,
  "spacegroup": "I4mm",
  "relative_energy_mev_per_atom": 234,
  "lattice_angstrom": [[-1.301, 1.301, 3.820], [1.301, -1.301, 3.820], [1.301, 1.301, -3.820]],
  "species": ["Cr", "Co", "H"],
  "fractional_positions": [[0.000, 0.000, 0.000], [0.296, 0.296, 0.000], [0.543, 0.543, 0.000]]
}

Entry 11:
{
  "formula": "Cr2CoH3",
  "functional": "PBE-GGA",
  "state": "optimized geometry",
  "e_tot_ev_per_atom": -6.0557,
  "spacegroup": "Fmmm",
  "lattice_angstrom": [[0.000, 1.872, 5.689], [1.867, 0.000, 5.689], [1.867, 1.872, 0.000]],
  "species": ["Cr", "Cr", "Co", "H", "H", "H"],
  "fractional_positions": [[0.165, 0.165, 0.835], [0.835, 0.835, 0.165], [0.500, 0.500, 0.500], [0.000, 0.000, 0.000], [0.334, 0.334, 0.666], [0.666, 0.666, 0.334]]
}

Entry 12:
{
  "formula": "Cr2CoH",
  "functional": "PBE-GGA",
  "state": "optimized geometry",
  "e_tot_ev_per_atom": -6.7807,
  "spacegroup": "Fm-3m",
  "relative_energy_mev_per_atom": 556,
  "lattice_angstrom": [[0.000, 2.697, 2.697], [2.697, 0.000, 2.697], [2.697, 2.697, 0.000]],
  "species": ["Cr", "Cr", "Co", "H"],
  "fractional_positions": [[0.250, 0.250, 0.250], [0.750, 0.750, 0.750], [0.000, 0.000, 0.000], [0.500, 0.500, 0.500]]
}

Entry 13:
{
  "formula": "Cr3Co5H12",
  "functional": "PBE-GGA",
  "state": "optimized geometry",
  "e_tot_ev_per_atom": -5.1421,
  "spacegroup": "Ia-3d",
  "lattice_angstrom": [[-5.079, 5.079, 5.079], [5.079, -5.079, 5.079], [5.079, 5.079, -5.079]],
  "species": ["Cr", "Cr", "Cr", "Cr", "Cr", "Cr", "Cr", "Cr", "Cr", "Cr", "Cr", "Cr", "Co", "Co", "Co", "Co", "Co", "Co", "Co", "Co", "Co", "Co", "Co", "Co", "Co", "Co", "Co", "Co", "Co", "Co", "Co", "Co", "H", "H", "H", "H", "H", "H", "H", "H", "H", "H", "H", "H", "H", "H", "H", "H", "H", "H", "H", "H", "H", "H", "H", "H", "H", "H", "H", "H", "H", "H", "H", "H", "H", "H", "H", "H", "H", "H", "H", "H", "H", "H", "H", "H", "H", "H", "H", "H"],
  "fractional_positions": [[0.125, 0.250, 0.375], [0.125, 0.375, 0.750], [0.250, 0.375, 0.125], [0.250, 0.875, 0.625], [0.375, 0.125, 0.250], [0.375, 0.750, 0.125], [0.625, 0.250, 0.875], [0.625, 0.875, 0.750], [0.750, 0.125, 0.375], [0.750, 0.625, 0.875], [0.875, 0.625, 0.250], [0.875, 0.750, 0.625], [0.000, 0.000, 0.000], [0.000, 0.000, 0.500], [0.000, 0.500, 0.000], [0.000, 0.500, 0.500], [0.125, 0.750, 0.875], [0.125, 0.875, 0.250], [0.250, 0.125, 0.875], [0.250, 0.625, 0.375], [0.375, 0.250, 0.625], [0.375, 0.625, 0.750], [0.500, 0.000, 0.000], [0.500, 0.000, 0.500], [0.500, 0.500, 0.000], [0.500, 0.500, 0.500], [0.625, 0.375, 0.250], [0.625, 0.750, 0.375], [0.750, 0.375, 0.625], [0.750, 0.875, 0.125], [0.875, 0.125, 0.750], [0.875, 0.250, 0.125], [0.048, 0.216, 0.133], [0.048, 0.333, 0.915], [0.083, 0.716, 0.667], [0.083, 0.867, 0.415], [0.085, 0.633, 0.417], [0.085, 0.952, 0.667], [0.133, 0.048, 0.216], [0.133, 0.585, 0.917], [0.167, 0.216, 0.583], [0.167, 0.452, 0.585], [0.216, 0.133, 0.048], [0.216, 0.583, 0.167], [0.284, 0.333, 0.917], [0.284, 0.452, 0.367], [0.333, 0.915, 0.048], [0.333, 0.917, 0.284], [0.367, 0.284, 0.452], [0.367, 0.583, 0.915], [0.415, 0.083, 0.867], [0.415, 0.833, 0.548], [0.417, 0.085, 0.633], [0.417, 0.833, 0.784], [0.452, 0.367, 0.284], [0.452, 0.585, 0.167], [0.548, 0.415, 0.833], [0.548, 0.633, 0.716], [0.583, 0.167, 0.216], [0.583, 0.915, 0.367], [0.585, 0.167, 0.452], [0.585, 0.917, 0.133], [0.633, 0.417, 0.085], [0.633, 0.716, 0.548], [0.667, 0.083, 0.716], [0.667, 0.085, 0.952], [0.716, 0.548, 0.633], [0.716, 0.667, 0.083], [0.784, 0.417, 0.833], [0.784, 0.867, 0.952], [0.833, 0.548, 0.415], [0.833, 0.784, 0.417], [0.867, 0.415, 0.083], [0.867, 0.952, 0.784], [0.915, 0.048, 0.333], [0.915, 0.367, 0.583], [0.917, 0.133, 0.585], [0.917, 0.284, 0.333], [0.952, 0.667, 0.085], [0.952, 0.784, 0.867]]
}

Entry 14:
{
  "formula": "CrCo3H",
  "functional": "PBE-GGA",
  "state": "optimized geometry",
  "e_tot_ev_per_atom": -6.8293,
  "spacegroup": "Pm-3m",
  "relative_energy_mev_per_atom": 20,
  "lattice_angstrom": [[3.575, 0.000, 0.000], [0.000, 3.575, 0.000], [0.000, 0.000, 3.575]],
  "species": ["Cr", "Co", "Co", "Co", "H"],
  "fractional_positions": [[0.000, 0.000, 0.000], [0.000, 0.500, 0.500], [0.500, 0.000, 0.500], [0.500, 0.500, 0.000], [0.500, 0.500, 0.500]]
}

Entry 15:
{
  "formula": "CrCoH",
  "functional": "PBE-GGA",
  "state": "optimized geometry",
  "e_tot_ev_per_atom": -6.6597,
  "spacegroup": "P2_1/c",
  "relative_energy_mev_per_atom": 0,
  "lattice_angstrom": [[4.857, 0.000, 0.000], [0.000, 4.473, 0.000], [-2.123, 0.000, 4.392]],
  "species": ["Cr", "Cr", "Cr", "Cr", "Co", "Co", "Co", "Co", "H", "H", "H", "H"],
  "fractional_positions": [[0.134, 0.167, 0.376], [0.134, 0.333, 0.876], [0.866, 0.667, 0.124], [0.866, 0.833, 0.624], [0.366, 0.664, 0.625], [0.366, 0.836, 0.125], [0.634, 0.164, 0.875], [0.634, 0.336, 0.375], [0.262, 0.511, 0.258], [0.262, 0.989, 0.758], [0.738, 0.011, 0.242], [0.738, 0.489, 0.742]]
}

Entry 16:
{
  "formula": "Cr2Co2H",
  "functional": "PBE-GGA",
  "state": "optimized geometry",
  "e_tot_ev_per_atom": -7.3490,
  "spacegroup": "P4/mmm",
  "lattice_angstrom": [[3.531, 0.000, 0.000], [0.000, 3.531, 0.000], [0.000, 0.000, 3.726]],
  "species": ["Cr", "Cr", "Co", "Co", "H"],
  "fractional_positions": [[0.000, 0.000, 0.000], [0.500, 0.500, 0.000], [0.000, 0.500, 0.500], [0.500, 0.000, 0.500], [0.000, 0.000, 0.500]]
}

Entry 17:
{
  "formula": "CrCo3H",
  "functional": "PBE-GGA",
  "state": "optimized geometry",
  "e_tot_ev_per_atom": -6.8497,
  "spacegroup": "P2_1/m",
  "relative_energy_mev_per_atom": 0,
  "lattice_angstrom": [[4.067, 0.000, 0.000], [0.000, 5.010, 0.000], [-0.019, 0.000, 4.423]],
  "species": ["Cr", "Cr", "Co", "Co", "Co", "Co", "Co", "Co", "H", "H"],
  "fractional_positions": [[0.242, 0.250, 0.349], [0.758, 0.750, 0.651], [0.244, 0.001, 0.829], [0.244, 0.499, 0.829], [0.247, 0.750, 0.344], [0.753, 0.250, 0.656], [0.756, 0.501, 0.171], [0.756, 0.999, 0.171], [0.492, 0.750, 0.006], [0.508, 0.250, 0.994]]
}

Entry 18:
{
  "formula": "CrCoH",
  "functional": "PBE-GGA",
  "state": "optimized geometry",
  "e_tot_ev_per_atom": -6.6364,
  "spacegroup": "P2_1/m",
  "relative_energy_mev_per_atom": 23,
  "lattice_angstrom": [[2.550, 0.000, 0.000], [0.000, 3.584, 0.000], [-0.259, 0.000, 5.246]],
  "species": ["Cr", "Cr", "Co", "Co", "H", "H"],
  "fractional_positions": [[0.208, 0.250, 0.122], [0.792, 0.750, 0.878], [0.259, 0.250, 0.638], [0.741, 0.750, 0.362], [0.262, 0.750, 0.602], [0.738, 0.250, 0.398]]
}

Entry 19:
{
  "formula": "CrCoH3",
  "functional": "PBE-GGA",
  "state": "optimized geometry",
  "e_tot_ev_per_atom": -5.1421,
  "spacegroup": "Pm-3m",
  "lattice_angstrom": [[3.127, 0.000, 0.000], [0.000, 3.127, 0.000], [0.000, 0.000, 3.127]],
  "species": ["Cr", "Co", "H", "H", "H"],
  "fractional_positions": [[0.000, 0.000, 0.000], [0.500, 0.500, 0.500], [0.000, 0.500, 0.500], [0.500, 0.000, 0.500], [0.500, 0.500, 0.000]]
}

Entry 20:
{
  "formula": "Cr2CoH",
  "functional": "PBE-GGA",
  "state": "optimized geometry",
  "e_tot_ev_per_atom": -6.9832,
  "spacegroup": "R-3m",
  "relative_energy_mev_per_atom": 353,
  "lattice_angstrom": [[1.243, 0.717, 7.337], [-1.243, 0.717, 7.337], [0.000, -1.435, 7.337]],
  "species": ["Cr", "Cr", "Co", "H"],
  "fractional_positions": [[0.075, 0.075, 0.075], [0.925, 0.925, 0.925], [0.500, 0.500, 0.500], [0.000, 0.000, 0.000]]
}

Number 1: magnetic moment 0.001 μB/cell. Number 2: magnetic moment 4.579 μB/cell. Number 3: magnetic moment 13.420 μB/cell. Number 4: magnetic moment 0.819 μB/cell. Number 5: magnetic moment 4.122 μB/cell. Number 6: magnetic moment 1.895 μB/cell. Number 7: magnetic moment 0.829 μB/cell. Number 8: magnetic moment 0.000 μB/cell. Number 9: magnetic moment 0.000 μB/cell. Number 10: magnetic moment 0.000 μB/cell. Number 11: magnetic moment 2.595 μB/cell. Number 12: magnetic moment 0.000 μB/cell. Number 13: magnetic moment 56.611 μB/cell. Number 14: magnetic moment 0.091 μB/cell. Number 15: magnetic moment 0.691 μB/cell. Number 16: magnetic moment 0.224 μB/cell. Number 17: magnetic moment 2.700 μB/cell. Number 18: magnetic moment 0.097 μB/cell. Number 19: magnetic moment 0.001 μB/cell. Number 20: magnetic moment 0.000 μB/cell.